Record 1
This record from the Alexandria database describes a relaxed Cs2HfTeBr6 crystal. The functional is GGA-PBE.

Crystal system: tetragonal
Uncorrected formation energy, eV per formula unit: -12.24
Total moment, μB/f.u.: 0.0
D(E_F), states/eV/f.u.: 0.0

Cell lengths 8.3911, 8.3911, 8.3911 Å; angles 114.51, 114.51, 99.81 degrees
Fractional coordinates of all 10 atoms:
Cs 0.2500 0.7500 0.5000
Cs 0.7500 0.2500 0.5000
Hf 0.0000 0.0000 0.0000
Te 0.5000 0.5000 0.0000
Br 0.2042 0.2042 0.4084
Br 0.2042 0.7958 0.0000
Br 0.2431 0.2431 0.0000
Br 0.7569 0.7569 0.0000
Br 0.7958 0.2042 0.0000
Br 0.7958 0.7958 0.5916

***

Record 2
This record from the Alexandria database describes a relaxed CsHf2TiBr crystal. The functional is GGA-PBE.

Crystal system: tetragonal
Uncorrected formation energy, eV per formula unit: 6.33
Total moment, μB/f.u.: 0.0
D(E_F), states/eV/f.u.: 11.4

Cell lengths 5.0176, 5.0176, 5.9893 Å; angles 90.00, 90.00, 90.00 degrees
Fractional coordinates of all 5 atoms:
Cs 0.0000 0.0000 0.0000
Hf 0.0000 0.5000 0.5000
Hf 0.5000 0.0000 0.5000
Ti 0.5000 0.5000 0.0000
Br 0.0000 0.0000 0.5000

***

Record 3
This record from the Alexandria database describes a relaxed CsHfTlBr6 crystal. The functional is GGA-PBE.

Crystal system: trigonal
Uncorrected formation energy, eV per formula unit: -12.74
Total moment, μB/f.u.: 0.0
D(E_F), states/eV/f.u.: 0.0

Cell lengths 8.0612, 8.0612, 14.4677 Å; angles 90.00, 90.00, 120.00 degrees
Fractional coordinates of all 18 atoms:
Cs 0.0000 0.0000 0.0000
Cs 0.0000 0.0000 0.5000
Hf 0.3333 0.6667 0.2500
Hf 0.6667 0.3333 0.7500
Tl 0.3333 0.6667 0.7500
Tl 0.6667 0.3333 0.2500
Br 0.0639 0.4053 0.1442
Br 0.0639 0.6585 0.3558
Br 0.3415 0.4053 0.3558
Br 0.3415 0.9361 0.1442
Br 0.4053 0.0639 0.6442
Br 0.4053 0.3415 0.8558
Br 0.5947 0.6585 0.1442
Br 0.5947 0.9361 0.3558
Br 0.6585 0.0639 0.8558
Br 0.6585 0.5947 0.6442
Br 0.9361 0.3415 0.6442
Br 0.9361 0.5947 0.8558

***

Repeat the first record exactly.
This record from the Alexandria database describes a relaxed Cs2HfTeBr6 crystal. The functional is GGA-PBE.

Crystal system: tetragonal
Uncorrected formation energy, eV per formula unit: -12.24
Total moment, μB/f.u.: 0.0
D(E_F), states/eV/f.u.: 0.0

Cell lengths 8.3911, 8.3911, 8.3911 Å; angles 114.51, 114.51, 99.81 degrees
Fractional coordinates of all 10 atoms:
Cs 0.2500 0.7500 0.5000
Cs 0.7500 0.2500 0.5000
Hf 0.0000 0.0000 0.0000
Te 0.5000 0.5000 0.0000
Br 0.2042 0.2042 0.4084
Br 0.2042 0.7958 0.0000
Br 0.2431 0.2431 0.0000
Br 0.7569 0.7569 0.0000
Br 0.7958 0.2042 0.0000
Br 0.7958 0.7958 0.5916

***

Q: What is the uncorrected formation energy in the third record?
A: -12.74 eV per formula unit

***

Copy entry 3 word for word.
This record from the Alexandria database describes a relaxed CsHfTlBr6 crystal. The functional is GGA-PBE.

Crystal system: trigonal
Uncorrected formation energy, eV per formula unit: -12.74
Total moment, μB/f.u.: 0.0
D(E_F), states/eV/f.u.: 0.0

Cell lengths 8.0612, 8.0612, 14.4677 Å; angles 90.00, 90.00, 120.00 degrees
Fractional coordinates of all 18 atoms:
Cs 0.0000 0.0000 0.0000
Cs 0.0000 0.0000 0.5000
Hf 0.3333 0.6667 0.2500
Hf 0.6667 0.3333 0.7500
Tl 0.3333 0.6667 0.7500
Tl 0.6667 0.3333 0.2500
Br 0.0639 0.4053 0.1442
Br 0.0639 0.6585 0.3558
Br 0.3415 0.4053 0.3558
Br 0.3415 0.9361 0.1442
Br 0.4053 0.0639 0.6442
Br 0.4053 0.3415 0.8558
Br 0.5947 0.6585 0.1442
Br 0.5947 0.9361 0.3558
Br 0.6585 0.0639 0.8558
Br 0.6585 0.5947 0.6442
Br 0.9361 0.3415 0.6442
Br 0.9361 0.5947 0.8558